Record 1
The following is a DFT calculation (PBE) of crystalline MnAlCl2 at its relaxed geometry.

Results
raw total energy: -4.53 eV/atom
formation energy (no corrections): -36.7 kJ/mol of atoms
N(E_F): 0.78 states/eV/f.u.
excess energy over the best structure of this formula in the dataset: 0.255 eV per atom

a = 7.397 Å, b = 7.397 Å, c = 7.397 Å
α = 151.09°, β = 149.18°, γ = 42.77°
Fractional coordinates of all 4 atoms:
1 Mn 0.750 0.250 0.500
2 Al 0.250 0.750 0.500
3 Cl 0.883 0.883 0.000
4 Cl 0.617 0.617 0.000

Record 2
The following is a DFT calculation (PBE) of crystalline TiAl2I2 at its relaxed geometry.

Results
raw total energy: -3.51 eV/atom
formation energy (no corrections): 18.2 kJ/mol of atoms
N(E_F): 2.63 states/eV/f.u.
excess energy over the best structure of this formula in the dataset: 0.000 eV per atom

a = 3.613 Å, b = 3.613 Å, c = 12.064 Å
α = 81.39°, β = 81.39°, γ = 90.00°
Fractional coordinates of all 5 atoms:
1 I 0.427 0.427 0.146
2 I 0.573 0.573 0.854
3 Al 0.750 0.250 0.500
4 Al 0.250 0.750 0.500
5 Ti 0.000 0.000 0.000

Mass density in g/cm3, matching the order above: 2.54, 3.84